# 1
This record from the Alexandria database describes a geometry-optimized Pd5RhI12 structure. The functional is GGA-PBE.

abc: 8.059 11.705 14.136
angles: 90.00 104.97 90.00
Space group C2/m (No. 12)
Unique sites:
Pd 0.000 0.000 0.000 x2
Pd 0.000 0.166 0.500 x4
Pd 0.000 0.333 0.000 x4
Rh 0.000 0.500 0.500 x2
I 0.040 0.332 0.379 x8
I 0.103 0.500 0.127 x4
I 0.106 0.167 0.127 x8
I 0.145 0.000 0.416 x4

Calculated values
* spin magnetization: 0.000 μB/f.u.
* E_tot: -3.0458 eV per atom
* uncorrected formation energy: -0.16 eV/atom

---

# 2
This record from the Alexandria database describes a geometry-optimized PdRh3I structure. The functional is GGA-PBE.

abc: 4.802 4.802 4.802
angles: 90.00 90.00 90.00
Space group Pm-3m (No. 221)
Unique sites:
Pd 0.000 0.000 0.000 x1
Rh 0.000 0.500 0.500 x3
I 0.500 0.500 0.500 x1

Calculated values
* spin magnetization: 0.884 μB/f.u.
* E_tot: -4.4566 eV per atom
* uncorrected formation energy: 1.30 eV/atom
* energy above the lowest structure with this stoichiometry: 0 meV/atom

---

# 3
This record from the Alexandria database describes a geometry-optimized PdRh2I6 structure. The functional is GGA-PBE.

abc: 13.479 4.002 13.153
angles: 90.00 114.61 90.00
Space group C2/m (No. 12)
Unique sites:
Pd 0.000 0.000 0.000 x2
Rh 0.219 0.500 0.357 x4
I 0.051 0.500 0.148 x4
I 0.123 0.000 0.424 x4
I 0.177 0.500 0.699 x4

Calculated values
* spin magnetization: 0.000 μB/f.u.
* E_tot: -3.3822 eV per atom
* uncorrected formation energy: -0.14 eV/atom

---

# 4
This record from the Alexandria database describes a geometry-optimized PdRhI2 structure. The functional is GGA-PBE.

abc: 6.989 6.989 6.989
angles: 90.00 90.00 90.00
Space group Fm-3m (No. 225)
Unique sites:
Pd 0.000 0.000 0.000 x4
Rh 0.000 0.000 0.500 x4
I 0.250 0.250 0.250 x8

Calculated values
* spin magnetization: 0.000 μB/f.u.
* E_tot: -3.4013 eV per atom
* uncorrected formation energy: 0.51 eV/atom
* energy above the lowest structure with this stoichiometry: 299 meV/atom

---

# 5
This record from the Alexandria database describes a geometry-optimized Pd2RhI structure. The functional is GGA-PBE.

abc: 7.441 7.441 5.372
angles: 90.00 90.00 90.00
Space group I-42d (No. 122)
Unique sites:
Pd 0.250 0.250 0.125 x8
Rh 0.000 0.000 0.000 x4
I 0.000 0.000 0.500 x4

Calculated values
* spin magnetization: 0.000 μB/f.u.
* E_tot: -4.4338 eV per atom
* uncorrected formation energy: 0.39 eV/atom
* energy above the lowest structure with this stoichiometry: 0 meV/atom

---

# 6
This record from the Alexandria database describes a geometry-optimized Pd3RhI structure. The functional is GGA-PBE.

abc: 4.886 4.886 4.886
angles: 90.00 90.00 90.00
Space group Pm-3m (No. 221)
Unique sites:
Pd 0.000 0.000 0.500 x3
Rh 0.000 0.000 0.000 x1
I 0.500 0.500 0.500 x1

Calculated values
* spin magnetization: 2.060 μB/f.u.
* E_tot: -3.9493 eV per atom
* uncorrected formation energy: 0.95 eV/atom
* energy above the lowest structure with this stoichiometry: 0 meV/atom

---

Question: What is the formula in the first record?
Answer: Pd5RhI12